Record 1
VASP calculation (GGA-PBE) on crystalline Sc3TaCl at its relaxed geometry.

It has space group Pm-3m (No. 221), with a = 4.7498 Å, b = 4.7498 Å, c = 4.7498 Å, α = 90.00°, β = 90.00° and γ = 90.00°. The distinct sites, in fractional coordinates, are Sc at (0.0000, 0.0000, 0.5000), Ta at (0.5000, 0.5000, 0.5000) and Cl at (0.0000, 0.0000, 0.0000).

Its crystal system is cubic. As for the offset from the most stable computed form: 0 meV per atom. The uncorrected formation energy comes out at -0.047 eV/atom.

Record 2
VASP calculation (GGA-PBE) on crystalline ScTaCl3 at its relaxed geometry.

It has space group Pm-3m (No. 221), with a = 4.8788 Å, b = 4.8788 Å, c = 4.8788 Å, α = 90.00°, β = 90.00° and γ = 90.00°. The distinct sites, in fractional coordinates, are Sc at (0.0000, 0.0000, 0.0000), Ta at (0.5000, 0.5000, 0.5000) and Cl at (0.0000, 0.5000, 0.5000).

Its crystal system is cubic. As for the offset from the most stable computed form: 17 meV per atom. The uncorrected formation energy comes out at -0.077 eV/atom.

Record 3
VASP calculation (GGA-PBE) on crystalline Sc3TaCl at its relaxed geometry.

It has space group Pm-3m (No. 221), with a = 5.2422 Å, b = 5.2422 Å, c = 5.2422 Å, α = 90.00°, β = 90.00° and γ = 90.00°. The distinct sites, in fractional coordinates, are Sc at (0.0000, 0.0000, 0.5000), Ta at (0.0000, 0.0000, 0.0000) and Cl at (0.5000, 0.5000, 0.5000).

Its crystal system is cubic. As for the offset from the most stable computed form: 645 meV per atom. The uncorrected formation energy comes out at 0.598 eV/atom.

Record 4
VASP calculation (GGA-PBE) on crystalline ScTaCl2 at its relaxed geometry.

It has space group C2/m (No. 12), with a = 12.8047 Å, b = 3.1232 Å, c = 5.0471 Å, α = 90.00°, β = 99.50° and γ = 90.00°. The distinct sites, in fractional coordinates, are Sc at (0.0000, 0.0000, 0.0000), Ta at (0.0000, 0.5000, 0.5000) and Cl at (0.1483, 0.0000, 0.7134).

Its crystal system is monoclinic. As for the offset from the most stable computed form: 593 meV per atom. The uncorrected formation energy comes out at -0.478 eV/atom.

Record 5
VASP calculation (GGA-PBE) on crystalline ScTaCl2 at its relaxed geometry.

It has space group Pmmm (No. 47), with a = 2.9627 Å, b = 4.3573 Å, c = 5.9490 Å, α = 90.00°, β = 90.00° and γ = 90.00°. The distinct sites, in fractional coordinates, are Sc at (0.0000, 0.0000, 0.0000), Ta at (0.5000, 0.0000, 0.5000), Cl at (0.0000, 0.5000, 0.5000) and Cl at (0.5000, 0.5000, 0.0000).

Its crystal system is orthorhombic. As for the offset from the most stable computed form: 740 meV per atom. The uncorrected formation energy comes out at -0.331 eV/atom.

Record 6
VASP calculation (GGA-PBE) on crystalline ScTaCl2 at its relaxed geometry.

It has space group R3m (No. 160, hexagonal axes), with a = 3.3113 Å, b = 3.3113 Å, c = 28.3700 Å, α = 90.00°, β = 90.00° and γ = 120.00°. The distinct sites, in fractional coordinates, are Sc at (0.0000, 0.0000, 0.0000), Ta at (0.0000, 0.0000, 0.2522), Cl at (0.0000, 0.0000, 0.5263) and Cl at (0.0000, 0.0000, 0.7272).

Its crystal system is trigonal. As for the offset from the most stable computed form: 0 meV per atom. The uncorrected formation energy comes out at -1.070 eV/atom.

Record 7
VASP calculation (GGA-PBE) on crystalline ScTaCl2 at its relaxed geometry.

It has space group Pmmm (No. 47), with a = 3.0004 Å, b = 3.8342 Å, c = 6.0839 Å, α = 90.00°, β = 90.00° and γ = 90.00°. The distinct sites, in fractional coordinates, are Sc at (0.0000, 0.0000, 0.0000), Ta at (0.0000, 0.0000, 0.5000) and Cl at (0.5000, 0.5000, 0.2507).

Its crystal system is orthorhombic. As for the offset from the most stable computed form: 1182 meV per atom. The uncorrected formation energy comes out at 0.111 eV/atom.

Record 8
VASP calculation (GGA-PBE) on crystalline ScTaCl3 at its relaxed geometry.

It has space group Pm-3m (No. 221), with a = 5.0256 Å, b = 5.0256 Å, c = 5.0256 Å, α = 90.00°, β = 90.00° and γ = 90.00°. The distinct sites, in fractional coordinates, are Sc at (0.0000, 0.0000, 0.0000), Ta at (0.5000, 0.5000, 0.5000) and Cl at (0.0000, 0.0000, 0.5000).

Its crystal system is cubic. As for the offset from the most stable computed form: 0 meV per atom. The uncorrected formation energy comes out at -0.095 eV/atom.